NbSe2N2 | GGA-PBE | relaxed

Calculated values
Symmetry   P4/mmm (123)
E   -5.412 eV per atom
Crystal system   tetragonal
V   68.1 Å³ per cell
Fermi-level density of states   0.391 states/eV/atom
Distance to the lowest polymorph of the same formula   836 meV per atom
Energy relative to the elements, uncorrected   1.326 eV per atom

abc: 4.342 4.342 3.614
angles: 90.00 90.00 90.00
Positions (direct):
Se  0.000  0.500  0.000
Se  0.500  0.000  0.000
N  0.000  0.000  0.000
N  0.000  0.000  0.500
Nb  0.500  0.500  0.500

=====

NbSe3N | GGA-PBE | relaxed

Calculated values
Symmetry   Pm-3m (221)
E   -4.990 eV per atom
Crystal system   cubic
V   82.8 Å³ per cell
Fermi-level density of states   1.111 states/eV/atom
Distance to the lowest polymorph of the same formula   0 meV per atom
Energy relative to the elements, uncorrected   0.779 eV per atom

abc: 4.358 4.358 4.358
angles: 90.00 90.00 90.00
Positions (direct):
Se  0.000  0.500  0.000
Se  0.500  0.000  0.000
Se  0.000  0.000  0.500
N  0.000  0.000  0.000
Nb  0.500  0.500  0.500

=====

Nb4Se5N | GGA-PBE | relaxed

Calculated values
Symmetry   C2/m (12)
E   -7.426 eV per atom
Crystal system   monoclinic
V   197.5 Å³ per cell
Fermi-level density of states   0.438 states/eV/atom
Energy relative to the elements, uncorrected   -0.823 eV per atom

abc: 3.480 7.195 8.279
angles: 102.63 102.13 90.00
Positions (direct):
Se  0.830  0.171  0.659
Se  0.838  0.656  0.677
Se  0.170  0.829  0.341
Se  0.500  0.500  0.000
Se  0.162  0.344  0.323
N  0.500  0.000  0.000
Nb  0.999  0.200  0.997
Nb  0.001  0.800  0.003
Nb  0.368  0.932  0.736
Nb  0.632  0.068  0.264

=====

NbSe3N | GGA-PBE | relaxed

Calculated values
Symmetry   Pm-3m (221)
E   -4.944 eV per atom
Crystal system   cubic
V   129.5 Å³ per cell
Fermi-level density of states   0.443 states/eV/atom
Distance to the lowest polymorph of the same formula   46 meV per atom
Energy relative to the elements, uncorrected   0.826 eV per atom

abc: 5.059 5.059 5.059
angles: 90.00 90.00 90.00
Each line ends with the local moment (μB).
Positions (direct):
Se  0.000  0.000  0.500  0.05
Se  0.500  0.000  0.000  0.00
Se  0.000  0.500  0.000  0.00
Nb  0.000  0.000  0.000  0.08
N  0.500  0.500  0.500  1.87

=====

NbSe2N2 | GGA-PBE | relaxed

Calculated values
Symmetry   P4/mmm (123)
E   -5.212 eV per atom
Crystal system   tetragonal
V   73.9 Å³ per cell
Fermi-level density of states   0.963 states/eV/atom
Distance to the lowest polymorph of the same formula   1036 meV per atom
Energy relative to the elements, uncorrected   1.526 eV per atom

abc: 3.874 3.874 4.924
angles: 90.00 90.00 90.00
Positions (direct):
Nb  0.500  0.500  0.500
Se  0.000  0.000  0.500
Se  0.000  0.000  0.000
N  0.500  0.000  0.000
N  0.000  0.500  0.000

=====

NbSiSe2N | GGA-PBE | relaxed

Calculated values
Symmetry   P4/mmm (123)
E   -5.912 eV per atom
Crystal system   tetragonal
V   104.5 Å³ per cell
Fermi-level density of states   0.364 states/eV/atom
Distance to the lowest polymorph of the same formula   0 meV per atom
Energy relative to the elements, uncorrected   0.246 eV per atom

abc: 5.192 5.192 3.877
angles: 90.00 90.00 90.00
Positions (direct):
Nb  0.000  0.000  0.000
Se  0.500  0.000  0.000
Se  0.000  0.500  0.000
Si  0.500  0.500  0.500
N  0.000  0.000  0.500

=====

NbSiSe2N | GGA-PBE | relaxed

Calculated values
Symmetry   P4/mmm (123)
E   -5.904 eV per atom
Crystal system   tetragonal
V   83.9 Å³ per cell
Fermi-level density of states   0.505 states/eV/atom
Distance to the lowest polymorph of the same formula   8 meV per atom
Energy relative to the elements, uncorrected   0.253 eV per atom

abc: 5.052 5.052 3.288
angles: 90.00 90.00 90.00
Each line ends with the local moment (μB).
Positions (direct):
Nb  0.500  0.500  0.500  1.41
Se  0.000  0.500  0.000  -0.07
Se  0.500  0.000  0.000  -0.07
N  0.000  0.000  0.500  0.04
Si  0.000  0.000  0.000  0.01

=====

NbSnSe2N | GGA-PBE | relaxed

Calculated values
Symmetry   P4/mmm (123)
E   -6.060 eV per atom
Crystal system   tetragonal
V   108.8 Å³ per cell
Fermi-level density of states   0.387 states/eV/atom
Distance to the lowest polymorph of the same formula   0 meV per atom
Energy relative to the elements, uncorrected   -0.187 eV per atom

abc: 5.262 5.262 3.930
angles: 90.00 90.00 90.00
Positions (direct):
Se  0.000  0.500  0.000
Se  0.500  0.000  0.000
Nb  0.000  0.000  0.000
N  0.000  0.000  0.500
Sn  0.500  0.500  0.500

=====

NbSnSe2N | GGA-PBE | relaxed

Calculated values
Symmetry   P4/mmm (123)
E   -4.935 eV per atom
Crystal system   tetragonal
V   105.8 Å³ per cell
Fermi-level density of states   0.734 states/eV/atom
Distance to the lowest polymorph of the same formula   1125 meV per atom
Energy relative to the elements, uncorrected   0.938 eV per atom

abc: 5.246 5.246 3.845
angles: 90.00 90.00 90.00
Each line ends with the local moment (μB).
Positions (direct):
N  0.000  0.000  0.500  -0.37
Se  0.000  0.500  0.000  -0.14
Se  0.500  0.000  0.000  -0.14
Nb  0.500  0.500  0.500  2.25
Sn  0.000  0.000  0.000  0.04

=====

TaNbSeN2 | GGA-PBE | relaxed

Calculated values
Symmetry   P4/mmm (123)
E   -8.076 eV per atom
Crystal system   tetragonal
V   83.3 Å³ per cell
Fermi-level density of states   0.908 states/eV/atom
Distance to the lowest polymorph of the same formula   0 meV per atom
Energy relative to the elements, uncorrected   0.336 eV per atom

abc: 4.021 4.021 5.150
angles: 90.00 90.00 90.00
Each line ends with the local moment (μB).
Positions (direct):
Nb  0.500  0.500  0.500  2.06
N  0.500  0.000  0.000  -0.18
N  0.000  0.500  0.000  -0.18
Ta  0.000  0.000  0.000  0.08
Se  0.000  0.000  0.500  -0.04

=====

TaNbSeN2 | GGA-PBE | relaxed

Calculated values
Symmetry   P4/mmm (123)
E   -7.704 eV per atom
Crystal system   tetragonal
V   81.7 Å³ per cell
Fermi-level density of states   1.065 states/eV/atom
Distance to the lowest polymorph of the same formula   372 meV per atom
Energy relative to the elements, uncorrected   0.707 eV per atom

abc: 3.995 3.995 5.120
angles: 90.00 90.00 90.00
Positions (direct):
Nb  0.000  0.000  0.000
Ta  0.500  0.500  0.500
N  0.000  0.500  0.000
N  0.500  0.000  0.000
Se  0.000  0.000  0.500

=====

NbTcSeN2 | GGA-PBE | relaxed

Calculated values
Symmetry   P4/mmm (123)
E   -7.408 eV per atom
Crystal system   tetragonal
V   78.0 Å³ per cell
Fermi-level density of states   1.072 states/eV/atom
Distance to the lowest polymorph of the same formula   0 meV per atom
Energy relative to the elements, uncorrected   0.706 eV per atom

abc: 3.852 3.852 5.259
angles: 90.00 90.00 90.00
Each line ends with the local moment (μB).
Positions (direct):
N  0.000  0.500  0.000  -0.16
N  0.500  0.000  0.000  -0.16
Tc  0.000  0.000  0.000  0.10
Nb  0.500  0.500  0.500  1.87
Se  0.000  0.000  0.500  -0.04